Entry from Alexandria via LeMat-Bulk: an optimized crystal structure of Sm2Y5In5 (PBE).

Calculated formation energy   -329 meV per atom

abc: 12.035 5.071 12.137
angles: 90.00 109.55 90.00
Space group C2/m (No. 12)
Unique sites:
Sm  0.070  0.000  0.261 [4 per cell]
Y  0.000  0.500  0.000 [2 per cell]
Y  0.138  0.500  0.782 [4 per cell]
Y  0.152  0.500  0.506 [4 per cell]
In  0.000  0.000  0.500 [2 per cell]
In  0.166  0.000  0.966 [4 per cell]
In  0.242  0.500  0.284 [4 per cell]


Entry from Alexandria via LeMat-Bulk: an optimized crystal structure of PuAg2Se4 (PBE).

Total energy   -37.4 eV/f.u.

abc: 9.234 9.234 7.528
angles: 90.00 90.00 90.00
Space group I-42d (No. 122)
Unique sites:
Pu  0.000  0.000  0.000 [4 per cell]
Ag  0.198  0.250  0.625 [8 per cell]
Se  0.037  0.195  0.323 [16 per cell]


| no. | DOS(E_F) (states/eV per atom) |
| --- | --- |
| 1 | 1.03 |
| 2 | 1.34 |